Below is a relaxed MgSiH3 crystal, with properties calculated at the PBE level.

- excess energy over the best structure of this formula in the dataset (meV/atom) = 0
- SG = Pm-3m, No. 221
- magnetization (Bohr magnetons per cell) = 0.0

Unit cell a=3.6644 b=3.6644 c=3.6644 alpha=90.00 beta=90.00 gamma=90.00
Closest atoms and distances in Å follow each position.
Fractional coordinates of all 5 atoms:
Mg (0.0000, 0.0000, 0.0000)  12 H 2.59
Si (0.5000, 0.5000, 0.5000)  6 H 1.83
H (0.0000, 0.5000, 0.5000)  2 Si 1.83
H (0.5000, 0.0000, 0.5000)  2 Si 1.83
H (0.5000, 0.5000, 0.0000)  2 Si 1.83

Below is a relaxed MgSiH2 crystal, with properties calculated at the PBE level.

- excess energy over the best structure of this formula in the dataset (meV/atom) = 0
- SG = I-42d, No. 122
- magnetization (Bohr magnetons per cell) = 0.0

Unit cell a=6.4143 b=6.4143 c=6.4143 alpha=144.14 beta=144.14 gamma=51.62
Closest atoms and distances in Å follow each position.
Fractional coordinates of all 8 atoms:
Mg (0.0000, 0.0000, 0.0000)  4 H 2.28
Mg (0.7500, 0.2500, 0.5000)  4 H 2.28
Si (0.2500, 0.7500, 0.5000)  4 H 1.82
Si (0.5000, 0.5000, 0.0000)  4 H 1.82
H (0.2448, 0.6250, 0.1198)  2 Si 1.82
H (0.3750, 0.4948, 0.6198)  2 Si 1.82
H (0.5052, 0.1250, 0.8802)  2 Si 1.82
H (0.8750, 0.7552, 0.3802)  2 Si 1.82